A relaxed MgRu2F crystal. Source: Alexandria via LeMat-Bulk, functional GGA-PBE.

Volume in Å³ per atom: 14.7
E_form (uncorrected) in meV/atom: 568
D(E_F) in states/eV/atom: 0.92
M_tot in μB/cell: 14.4
Polymorph energy (0 for the lowest one) in eV per atom: 0.4979
Raw total energy in eV per atom: -4.937

Structure (CIF):
```
data_MgRu2F
_cell_length_a 6.1660
_cell_length_b 6.1660
_cell_length_c 6.1660
_cell_angle_alpha 90.00
_cell_angle_beta 90.00
_cell_angle_gamma 90.00
_space_group_name_H-M_alt 'F m -3 m'
_space_group_IT_number 225
_space_group_name_Hall '-F 4 2 3'
loop_
_atom_site_label
_atom_site_type_symbol
_atom_site_fract_x
_atom_site_fract_y
_atom_site_fract_z
Mg1 Mg 0.0000 0.0000 0.0000
Ru1 Ru 0.2500 0.2500 0.2500
F1 F 0.0000 0.0000 0.5000
```